## Ag3TeC (PBE)

Data for a relaxed structure of Ag3TeC.

Output
SG: No. 221
Polymorph energy (0 for the lowest one) in eV/atom: 0.784

Lattice parameters (Å, degrees): 5.334 5.334 5.334 90.00 90.00 90.00
Fractional coordinates of all 5 atoms:
1 Ag 0.000 0.000 0.500
2 Ag 0.000 0.500 0.000
3 Ag 0.500 0.000 0.000
4 Te 0.000 0.000 0.000
5 C 0.500 0.500 0.500


## CeZnGa2 (PBE)

Data for a relaxed structure of CeZnGa2.

Output
Energy of formation in meV per atom: -298
SG: No. 65

Lattice parameters (Å, degrees): 5.558 5.558 2.974 90.00 90.00 117.94
Fractional coordinates of all 4 atoms:
1 Ce 0.000 0.000 0.000
2 Zn 0.500 0.500 0.500
3 Ga 0.000 0.500 0.500
4 Ga 0.500 0.000 0.500


## La2SmYHo5 (PBE)

Data for a relaxed structure of La2SmYHo5.

Output
Energy of formation in meV per atom: 255
SG: No. 140

Lattice parameters (Å, degrees): 9.998 9.998 9.998 128.65 128.65 75.57
Fractional coordinates of all 18 atoms:
1 La 0.118 0.618 0.735
2 La 0.382 0.118 0.500
3 La 0.618 0.882 0.500
4 La 0.882 0.382 0.265
5 Sm 0.250 0.250 0.000
6 Sm 0.750 0.750 0.000
7 Y 0.250 0.750 0.500
8 Y 0.750 0.250 0.500
9 Ho 0.000 0.000 0.000
10 Ho 0.075 0.142 0.500
11 Ho 0.142 0.642 0.067
12 Ho 0.358 0.425 0.500
13 Ho 0.425 0.925 0.067
14 Ho 0.500 0.500 0.000
15 Ho 0.575 0.075 0.933
16 Ho 0.642 0.575 0.500
17 Ho 0.858 0.358 0.933
18 Ho 0.925 0.858 0.500


## Dy2SnPb (PBE)

Data for a relaxed structure of Dy2SnPb.

Output
Energy of formation in meV per atom: -515
SG: No. 123
Polymorph energy (0 for the lowest one) in eV/atom: 0.083

Lattice parameters (Å, degrees): 4.990 4.990 4.400 90.00 90.00 90.00
Fractional coordinates of all 4 atoms:
1 Dy 0.000 0.500 0.000
2 Dy 0.500 0.000 0.000
3 Sn 0.000 0.000 0.500
4 Pb 0.500 0.500 0.500


## Hf2TcH2 (PBE)

Data for a relaxed structure of Hf2TcH2.

Output
SG: No. 123
Polymorph energy (0 for the lowest one) in eV/atom: 0.180

Lattice parameters (Å, degrees): 3.200 3.200 6.335 90.00 90.00 90.00
Fractional coordinates of all 5 atoms:
1 Hf 0.000 0.000 0.245
2 Hf 0.000 0.000 0.755
3 Tc 0.500 0.500 0.500
4 H 0.000 0.500 0.000
5 H 0.500 0.000 0.000


## NaAlGa2Te6 (PBE)

Data for a relaxed structure of NaAlGa2Te6.

Output
SG: No. 15

Lattice parameters (Å, degrees): 10.169 10.169 8.351 110.70 110.70 89.69
Fractional coordinates of all 20 atoms:
1 Na 0.136 0.864 0.750
2 Na 0.864 0.136 0.250
3 Al 0.161 0.839 0.250
4 Al 0.839 0.161 0.750
5 Ga 0.231 0.414 0.907
6 Ga 0.414 0.231 0.407
7 Ga 0.586 0.769 0.593
8 Ga 0.769 0.586 0.093
9 Te 0.074 0.170 0.675
10 Te 0.105 0.638 0.924
11 Te 0.170 0.074 0.175
12 Te 0.335 0.442 0.642
13 Te 0.362 0.895 0.576
14 Te 0.442 0.335 0.142
15 Te 0.558 0.665 0.858
16 Te 0.638 0.105 0.424
17 Te 0.665 0.558 0.358
18 Te 0.830 0.926 0.825
19 Te 0.895 0.362 0.076
20 Te 0.926 0.830 0.325


## PCBrCl2 (PBE)

Data for a relaxed structure of PCBrCl2.

Output
SG: No. 123
Polymorph energy (0 for the lowest one) in eV/atom: 0.000

Lattice parameters (Å, degrees): 4.316 4.316 4.722 90.00 90.00 90.00
Fractional coordinates of all 5 atoms:
1 P 0.000 0.000 0.000
2 C 0.000 0.000 0.500
3 Br 0.500 0.500 0.000
4 Cl 0.000 0.500 0.500
5 Cl 0.500 0.000 0.500


## BaLi2ZnPd (PBE)

Data for a relaxed structure of BaLi2ZnPd.

Output
Energy of formation in meV per atom: 1197
SG: No. 123
Polymorph energy (0 for the lowest one) in eV/atom: 1.427

Lattice parameters (Å, degrees): 5.519 5.519 5.603 90.00 90.00 90.00
Fractional coordinates of all 5 atoms:
1 Ba 0.000 0.000 0.000
2 Li 0.000 0.500 0.000
3 Li 0.500 0.000 0.000
4 Zn 0.000 0.000 0.500
5 Pd 0.500 0.500 0.500


## LiHoCdSi (PBE)

Data for a relaxed structure of LiHoCdSi.

Output
SG: No. 216

Lattice parameters (Å, degrees): 4.871 4.871 4.871 60.00 60.00 60.00
Fractional coordinates of all 4 atoms:
1 Li 0.000 0.000 0.000
2 Ho 0.500 0.500 0.500
3 Cd 0.750 0.750 0.750
4 Si 0.250 0.250 0.250


## LiRu2 (PBE)

Data for a relaxed structure of LiRu2.

Output
Energy of formation in meV per atom: 188
SG: No. 8

Lattice parameters (Å, degrees): 5.258 5.258 6.346 107.02 107.02 29.81
Fractional coordinates of all 6 atoms:
1 Li 0.000 0.000 0.000
2 Li 0.648 0.648 0.339
3 Ru 0.034 0.034 0.615
4 Ru 0.327 0.327 0.651
5 Ru 0.364 0.364 0.258
6 Ru 0.726 0.726 0.908


## H2IrRu (PBE)

Data for a relaxed structure of H2IrRu.

Output
SG: No. 225
Polymorph energy (0 for the lowest one) in eV/atom: 0.517

Lattice parameters (Å, degrees): 3.716 3.716 3.716 60.00 60.00 60.00
Fractional coordinates of all 4 atoms:
1 H 0.250 0.250 0.250
2 H 0.750 0.750 0.750
3 Ir 0.000 0.000 0.000
4 Ru 0.500 0.500 0.500


## Zn2FeCuRe (PBE)

Data for a relaxed structure of Zn2FeCuRe.

Output
Energy of formation in meV per atom: 1210
SG: No. 123

Lattice parameters (Å, degrees): 4.301 4.301 4.653 90.00 90.00 90.00
Fractional coordinates of all 5 atoms:
1 Zn 0.000 0.500 0.000
2 Zn 0.500 0.000 0.000
3 Fe 0.000 0.000 0.500
4 Cu 0.500 0.500 0.000
5 Re 0.500 0.500 0.500


Total energy, respectively: -2.530; -3.614; -4.626; -4.744; -7.743; -3.340; -2.758; -1.247; -3.517; -6.634; -5.375; -4.301 eV per atom.